# 1
Here is an optimized crystal structure of TbCeEr from Alexandria. Energies are from PBE.

Results
The polymorph energy (0 for the lowest one) comes out at 0 meV per atom. The value obtained for the spin magnetization is 0.61 μB per formula unit. As for the symmetry: P3m1, No. 156.

Cell and atoms, written as extended XYZ:
```
3
Lattice="3.504 0.000 0.000 -1.752 3.035 0.000 0.000 0.000 8.604" Properties=species:S:1:pos:R:3 pbc="T T T"
Tb 0.000 0.000 0.000
Ce 1.752 1.012 2.855
Er 0.000 2.023 5.681
```

# 2
Here is an optimized crystal structure of Ac4HoSn4 from Alexandria. Energies are from PBE.

Results
The value obtained for the spin magnetization is 0.00 μB per formula unit. As for the symmetry: P4_2/n, No. 86.

Cell and atoms, written as extended XYZ:
```
18
Lattice="9.850 0.000 0.000 0.000 9.850 0.000 0.000 0.000 6.876" Properties=species:S:1:pos:R:3 pbc="T T T"
Ac 0.372 6.653 0.743
Ac 1.728 9.477 4.180
Ac 3.196 5.297 4.180
Ac 4.552 8.121 0.743
Ac 5.297 1.728 6.133
Ac 6.653 4.552 2.695
Ac 8.121 0.372 2.695
Ac 9.477 3.196 6.133
Ho 2.462 2.462 1.719
Ho 7.387 7.387 5.157
Sn 0.071 6.329 4.110
Sn 1.404 9.779 0.672
Sn 3.520 4.995 0.672
Sn 4.854 8.445 4.110
Sn 4.995 1.404 2.766
Sn 6.329 4.854 6.203
Sn 8.445 0.071 6.203
Sn 9.779 3.520 2.766
```

Number 1: VASP energy -0.36593 Ry/atom. Number 2: VASP energy -0.33996 Ry/atom.